# 1
Density functional theory data (PBE-GGA) for a geometry-optimized Co2TcSe structure.

Summary:
Raw formation energy ... 0.3871 eV per atom
SG ... No. 123
Total magnetic moment ... 0.003 μB per atom

```
4
Lattice="-0.324 3.560 -0.860 -3.624 -0.436 -0.438 -0.537 0.825 3.616" Properties=species:S:1:pos:R:3 pbc="T T T"
Tc -2.080 0.195 1.589
Se -0.430 2.192 1.378
Co 0.000 0.000 0.000
Co -1.974 1.562 -0.649
```

=====

# 2
Density functional theory data (PBE-GGA) for a geometry-optimized Zr2NbSe structure.

Summary:
Raw formation energy ... 0.1626 eV per atom
SG ... No. 122
Total magnetic moment ... 0.000 μB per atom

```
8
Lattice="-3.198 -1.857 1.794 2.446 -1.266 3.050 -2.375 6.769 7.481" Properties=species:S:1:pos:R:3 pbc="T T T"
Zr -2.455 2.353 9.829
Zr -2.046 3.897 7.448
Se -0.376 -1.561 2.422
Zr 0.514 0.657 4.013
Nb -2.974 1.676 5.849
Nb 0.000 0.000 0.000
Se -0.152 1.971 6.477
Zr -2.265 0.386 3.361
```

=====

# 3
Density functional theory data (PBE-GGA) for a geometry-optimized Al2AgAu structure.

Summary:
ΔH_f (0 K) ... -0.161 eV per atom
SG ... No. 10
Total magnetic moment ... 0.000 μB per atom

```
4
Lattice="-1.151 -1.417 2.381 4.101 -3.285 0.028 4.878 0.475 2.642" Properties=species:S:1:pos:R:3 pbc="T T T"
Al 1.475 -2.351 1.205
Ag 2.439 0.238 1.321
Au 3.913 -2.113 2.526
Al 0.000 0.000 0.000
```

=====

# 4
Density functional theory data (PBE-GGA) for a geometry-optimized Pr3Cu2Sn3 structure.

Summary:
ΔH_f (0 K) ... -0.596 eV per atom
SG ... No. 63
Total magnetic moment ... 0.106 μB per atom

```
16
Lattice="-4.160 0.573 -1.815 4.040 -2.058 -4.141 -3.641 -14.642 3.724" Properties=species:S:1:pos:R:3 pbc="T T T"
Sn -0.501 -9.231 -1.765
Pr -1.301 -12.274 -0.891
Cu -0.618 -6.630 -0.674
Sn 0.423 -4.866 -2.504
Pr -2.914 -13.299 2.483
Cu -4.241 -13.915 -0.435
Sn -2.029 -15.380 -0.201
Pr -1.906 -9.242 1.452
Pr -0.847 -2.827 -4.716
Sn -4.184 -11.261 0.271
Cu 0.480 -2.211 -1.798
Sn -1.731 -0.746 -2.032
Sn -3.260 -6.895 -0.468
Pr -2.460 -3.853 -1.342
Cu -3.143 -9.496 -1.558
Pr -1.855 -6.884 -3.684
```

=====

# 5
Density functional theory data (PBE-GGA) for a geometry-optimized Ba3TbMg4 structure.

Summary:
ΔH_f (0 K) ... -0.037 eV per atom
SG ... No. 123
Total magnetic moment ... 0.000 μB per atom

```
8
Lattice="-4.031 -0.068 0.911 0.790 -2.328 3.323 1.933 14.409 9.636" Properties=species:S:1:pos:R:3 pbc="T T T"
Mg 1.750 13.042 8.722
Ba -0.654 6.006 6.935
Mg 0.183 1.367 0.914
Ba -0.135 9.873 9.521
Mg 1.224 9.124 6.102
Tb -1.620 -1.198 2.117
Ba -1.173 2.139 4.349
Mg 0.709 5.285 3.534
```

=====

# 6
Density functional theory data (PBE-GGA) for a geometry-optimized CoBI2N structure.

Summary:
Raw formation energy ... 1.1931 eV per atom
Distance to the lowest polymorph of the same formula ... 0.607 eV/atom
SG ... No. 123
Total magnetic moment ... 0.000 μB per atom

```
5
Lattice="-2.276 -3.910 2.949 4.885 -1.582 1.672 -0.222 2.165 2.698" Properties=species:S:1:pos:R:3 pbc="T T T"
I -1.138 -1.955 1.475
Co 0.000 0.000 0.000
I 2.443 -0.791 0.836
B 1.194 -1.664 3.660
N -0.111 1.082 1.349
```

=====

# 7
Density functional theory data (PBE-GGA) for a geometry-optimized La2PuScAs4 structure.

Summary:
ΔH_f (0 K) ... -1.336 eV per atom
SG ... No. 10
Total magnetic moment ... 0.613 μB per atom

```
8
Lattice="-3.362 1.261 2.202 3.323 -1.888 6.155 1.560 6.908 -1.575" Properties=species:S:1:pos:R:3 pbc="T T T"
Pu 0.000 0.000 0.000
As -0.498 1.740 2.272
La -0.901 4.085 0.313
Sc -0.019 -0.313 4.179
As 2.083 4.851 0.402
As 2.019 4.542 4.510
La 2.442 2.510 2.290
As 2.800 0.170 4.178
```

=====

# 8
Density functional theory data (PBE-GGA) for a geometry-optimized Tl2TcMo structure.

Summary:
ΔH_f (0 K) ... 0.479 eV per atom
Distance to the lowest polymorph of the same formula ... 0.115 eV/atom
SG ... No. 160
Total magnetic moment ... 0.000 μB per atom

```
4
Lattice="-2.445 -0.648 9.292 -3.808 -3.344 8.189 -0.697 -3.333 9.008" Properties=species:S:1:pos:R:3 pbc="T T T"
Tc -5.297 -5.583 20.190
Tl -0.055 -0.058 0.210
Tl -1.688 -1.779 6.434
Mo -3.384 -3.567 12.900
```

=====

Question: Which value of total magnetic moment does entry 4 give?
Answer: 0.106 μB per atom

=====

Question: total magnetic moment of number 3 (Al2AgAu)?
Answer: 0.000 μB per atom

=====

Question: Which value of total magnetic moment does entry 8 give?
Answer: 0.000 μB per atom

=====

Repeat the first record exactly.
Density functional theory data (PBE-GGA) for a geometry-optimized Co2TcSe structure.

Summary:
Raw formation energy ... 0.3871 eV per atom
SG ... No. 123
Total magnetic moment ... 0.003 μB per atom

```
4
Lattice="-0.324 3.560 -0.860 -3.624 -0.436 -0.438 -0.537 0.825 3.616" Properties=species:S:1:pos:R:3 pbc="T T T"
Tc -2.080 0.195 1.589
Se -0.430 2.192 1.378
Co 0.000 0.000 0.000
Co -1.974 1.562 -0.649
```